(1)
Here is crystalline LiCuAg2 at its relaxed geometry from the Alexandria database. Energies are from GGA-PBEsol.

a b c (Å): 3.7833 3.7833 8.0667
angles (deg): 90.00 90.00 90.00
Space group I-4m2 (No. 119)
Inequivalent atoms, fractional coordinates:
1 Li 0.0000 0.0000 0.0000 x2
2 Cu 0.0000 0.5000 0.7500 x2
3 Ag 0.0000 0.0000 0.5000 x2
4 Ag 0.0000 0.5000 0.2500 x2

calculated formation energy = -1.3 kcal/mol of atoms



(2)
Here is crystalline K2BeZnSb at its relaxed geometry from the Alexandria database. Energies are from GGA-PBEsol.

a b c (Å): 6.6638 6.6638 5.1181
angles (deg): 90.00 90.00 90.00
Space group P4/mmm (No. 123)
Inequivalent atoms, fractional coordinates:
1 K 0.0000 0.5000 0.0000 x2
2 Be 0.0000 0.0000 0.5000 x1
3 Zn 0.5000 0.5000 0.5000 x1
4 Sb 0.5000 0.5000 0.0000 x1

formation energy (no corrections) = 3.07 eV per formula unit



(3)
Here is crystalline K5Al at its relaxed geometry from the Alexandria database. Energies are from GGA-PBEsol.

a b c (Å): 10.8914 10.8914 10.8914
angles (deg): 90.00 90.00 90.00
Space group F-43m (No. 216)
Inequivalent atoms, fractional coordinates:
1 K 0.0000 0.0000 0.0000 x4
2 K 0.1233 0.1233 0.3767 x16
3 Al 0.2500 0.2500 0.7500 x4

calculated formation energy = 8.8 kcal/mol of atoms
relative energy among the computed polymorphs = 0.176 eV per atom



(4)
Here is crystalline HfZr2Ta at its relaxed geometry from the Alexandria database. Energies are from GGA-PBEsol.

a b c (Å): 6.8814 6.8814 6.8814
angles (deg): 90.00 90.00 90.00
Space group Fm-3m (No. 225)
Inequivalent atoms, fractional coordinates:
1 Hf 0.0000 0.0000 0.0000 x4
2 Zr 0.2500 0.2500 0.2500 x8
3 Ta 0.0000 0.0000 0.5000 x4

calculated formation energy = 3.6 kcal/mol of atoms



(5)
Here is crystalline CdMoAs2 at its relaxed geometry from the Alexandria database. Energies are from GGA-PBEsol.

a b c (Å): 3.1919 3.5852 13.1958
angles (deg): 90.00 90.00 90.00
Space group Imm2 (No. 44)
Inequivalent atoms, fractional coordinates:
1 Cd 0.0000 0.0000 0.0000 x2
2 Mo 0.0000 0.5000 0.7339 x2
3 As 0.0000 0.0000 0.3802 x2
4 As 0.0000 0.5000 0.1656 x2

calculated formation energy = 1.2 kcal/mol of atoms



(6)
Here is crystalline Ir7W at its relaxed geometry from the Alexandria database. Energies are from GGA-PBEsol.

a b c (Å): 7.6849 7.6849 7.6849
angles (deg): 90.00 90.00 90.00
Space group Fm-3m (No. 225)
Inequivalent atoms, fractional coordinates:
1 Ir 0.0000 0.0000 0.0000 x4
2 Ir 0.0000 0.2500 0.2500 x24
3 W 0.0000 0.0000 0.5000 x4

calculated formation energy = -3.3 kcal/mol of atoms



Going through the records in order, we get theoretical density values of 8.2; 2.0; 1.1; 11.0; 7.9; 22.4 g/cm3.
Going through the records in order, we get total energy values of -3.29; -1.87; -1.25; -10.15; -5.74; -10.47 eV per atom.